{
  "formula": "Er4ThGa",
  "functional": "PBE",
  "state": "relaxed",
  "total_energy_ev_per_fu": -24.94,
  "cell": [[4.340, -4.538, 0.000], [4.340, 4.538, 0.000], [0.000, 0.000, 5.332]],
  "species": ["Er", "Er", "Er", "Er", "Th", "Ga"],
  "frac_coords": [[0.164, 0.836, 0.000], [0.311, 0.311, 0.500], [0.689, 0.689, 0.500], [0.836, 0.164, 0.000], [0.500, 0.500, 0.000], [0.000, 0.000, 0.500]]
}

=====

{
  "formula": "Er5TlGa2",
  "functional": "PBE",
  "state": "relaxed",
  "total_energy_ev_per_fu": -34.88,
  "cell": [[-3.838, 3.838, 7.088], [3.838, -3.838, 7.088], [3.838, 3.838, -7.088]],
  "species": ["Er", "Er", "Er", "Er", "Er", "Er", "Er", "Er", "Er", "Er", "Tl", "Tl", "Ga", "Ga", "Ga", "Ga"],
  "frac_coords": [[0.000, 0.000, 0.000], [0.022, 0.522, 0.831], [0.191, 0.022, 0.500], [0.309, 0.809, 0.831], [0.478, 0.309, 0.500], [0.500, 0.500, 0.000], [0.522, 0.691, 0.500], [0.691, 0.191, 0.169], [0.809, 0.978, 0.500], [0.978, 0.478, 0.169], [0.250, 0.250, 0.000], [0.750, 0.750, 0.000], [0.126, 0.374, 0.500], [0.374, 0.874, 0.248], [0.626, 0.126, 0.752], [0.874, 0.626, 0.500]]
}

=====

{
  "formula": "Er2TlGa3",
  "functional": "PBE",
  "state": "relaxed",
  "total_energy_ev_per_fu": -23.12,
  "cell": [[2.206, -6.972, 0.000], [2.206, 6.972, 0.000], [0.000, 0.000, 4.314]],
  "species": ["Er", "Er", "Tl", "Ga", "Ga", "Ga"],
  "frac_coords": [[0.156, 0.844, 0.000], [0.844, 0.156, 0.000], [0.500, 0.500, 0.000], [0.000, 0.000, 0.500], [0.316, 0.684, 0.500], [0.684, 0.316, 0.500]]
}

=====

{
  "formula": "ErTmGa3",
  "functional": "PBE",
  "state": "relaxed",
  "total_energy_ev_per_fu": -20.34,
  "cell": [[6.951, 0.000, 0.000], [0.000, 6.951, 0.000], [0.000, 0.000, 6.951]],
  "species": ["Er", "Er", "Er", "Tm", "Tm", "Tm", "Ga", "Ga", "Ga", "Ga", "Ga", "Ga", "Ga", "Ga", "Ga"],
  "frac_coords": [[0.000, 0.000, 0.500], [0.000, 0.500, 0.000], [0.500, 0.000, 0.000], [0.000, 0.500, 0.500], [0.500, 0.000, 0.500], [0.500, 0.500, 0.000], [0.000, 0.000, 0.000], [0.247, 0.247, 0.247], [0.247, 0.247, 0.753], [0.247, 0.753, 0.247], [0.247, 0.753, 0.753], [0.753, 0.247, 0.247], [0.753, 0.247, 0.753], [0.753, 0.753, 0.247], [0.753, 0.753, 0.753]]
}

=====

{
  "formula": "ErTmGa4",
  "functional": "PBE",
  "state": "relaxed",
  "total_energy_ev_per_fu": -24.41,
  "relative_energy_mev_per_atom": 0,
  "cell": [[2.027, -9.287, 0.000], [2.027, 9.287, 0.000], [0.000, 0.000, 6.437]],
  "species": ["Er", "Er", "Tm", "Tm", "Ga", "Ga", "Ga", "Ga", "Ga", "Ga", "Ga", "Ga"],
  "frac_coords": [[0.090, 0.910, 0.750], [0.910, 0.090, 0.250], [0.235, 0.765, 0.250], [0.765, 0.235, 0.750], [0.070, 0.930, 0.250], [0.354, 0.646, 0.542], [0.354, 0.646, 0.958], [0.500, 0.500, 0.000], [0.500, 0.500, 0.500], [0.646, 0.354, 0.042], [0.646, 0.354, 0.458], [0.930, 0.070, 0.750]]
}

=====

{
  "formula": "Er3TmGa4",
  "functional": "PBE",
  "state": "relaxed",
  "total_energy_ev_per_fu": -35.29,
  "cell": [[6.558, 0.000, 0.000], [0.000, 2.152, 6.530], [0.000, -2.152, 6.530]],
  "species": ["Er", "Er", "Er", "Tm", "Ga", "Ga", "Ga", "Ga"],
  "frac_coords": [[0.000, 0.000, 0.000], [0.000, 0.276, 0.276], [0.500, 0.172, 0.172], [0.500, 0.447, 0.447], [0.198, 0.625, 0.625], [0.303, 0.822, 0.822], [0.697, 0.822, 0.822], [0.802, 0.625, 0.625]]
}

=====

{
  "formula": "ErTmGa4",
  "functional": "PBE",
  "state": "relaxed",
  "total_energy_ev_per_fu": -24.28,
  "relative_energy_mev_per_atom": 22,
  "cell": [[4.297, 0.000, 0.000], [0.000, 2.134, 6.635], [0.000, -2.134, 6.635]],
  "species": ["Er", "Tm", "Ga", "Ga", "Ga", "Ga"],
  "frac_coords": [[0.000, 0.000, 0.000], [0.000, 0.303, 0.303], [0.000, 0.652, 0.652], [0.500, 0.152, 0.152], [0.500, 0.475, 0.475], [0.500, 0.828, 0.828]]
}

=====

{
  "formula": "ErGa4W2",
  "functional": "PBE",
  "state": "relaxed",
  "total_energy_ev_per_fu": -44.08,
  "cell": [[-3.313, 3.313, 2.691], [3.313, -3.313, 2.691], [3.313, 3.313, -2.691]],
  "species": ["Er", "Ga", "Ga", "Ga", "Ga", "W", "W"],
  "frac_coords": [[0.000, 0.000, 0.000], [0.305, 0.305, 0.611], [0.305, 0.695, 0.000], [0.695, 0.305, 0.000], [0.695, 0.695, 0.389], [0.250, 0.750, 0.500], [0.750, 0.250, 0.500]]
}